VASP calculation (PBE) on a relaxed structure of La4PdAu.

Values from the calculation:
Its magnetization is 0.0 Bohr magnetons per cell. The value obtained for the energy above the most stable polymorph in this dataset is 0 meV per atom. The calculation puts the density of states at the Fermi level at 1.3085 states/eV per atom. Its formation energy is -0.5162 eV/atom.

Cell lengths 6.687, 7.353, 7.353 Å; angles 90.00, 90.00, 90.00 degrees
Positions (direct):
La (0.500, 0.330, 0.822)
La (0.500, 0.670, 0.178)
La (0.500, 0.822, 0.670)
La (0.500, 0.178, 0.330)
La (0.000, 0.670, 0.822)
La (0.000, 0.178, 0.670)
La (0.000, 0.330, 0.178)
La (0.000, 0.822, 0.330)
Pd (0.750, 0.500, 0.500)
Pd (0.250, 0.500, 0.500)
Au (0.750, 0.000, 0.000)
Au (0.250, 0.000, 0.000)

VASP calculation (PBE) on a relaxed structure of RhWBr2Cl.

Values from the calculation:
Its magnetization is 0.0 Bohr magnetons per cell. The calculation puts the density of states at the Fermi level at 0.9217 states/eV per atom. The value obtained for the formation energy from raw total energies is 61.47 kJ/mol of atoms.

Cell lengths 4.937, 4.959, 4.937 Å; angles 90.00, 90.00, 90.00 degrees
Positions (direct):
Rh (0.000, 0.500, 0.000)
Br (0.500, 0.000, 0.000)
Br (0.000, 0.000, 0.500)
Cl (0.500, 0.500, 0.500)
W (0.000, 0.000, 0.000)

VASP calculation (PBE) on a relaxed structure of Cu5Cl.

Values from the calculation:
Its magnetization is 0.0 Bohr magnetons per cell. The value obtained for the energy above the most stable polymorph in this dataset is 0 meV per atom. The calculation puts the density of states at the Fermi level at 0.2569 states/eV per atom. The value obtained for the formation energy from raw total energies is 13.82 kJ/mol of atoms.

Cell lengths 7.405, 7.405, 3.501 Å; angles 90.00, 90.00, 152.55 degrees
Positions (direct):
Cu (0.658, 0.342, 0.000)
Cu (0.790, 0.210, 0.500)
Cu (0.164, 0.836, 0.500)
Cu (0.290, 0.710, 0.000)
Cu (0.414, 0.586, 0.500)
Cl (0.017, 0.983, 0.000)

VASP calculation (PBE) on a relaxed structure of YZrV.

Values from the calculation:
Its magnetization is 0.0 Bohr magnetons per cell. The value obtained for the energy above the most stable polymorph in this dataset is 56 meV per atom. The calculation puts the density of states at the Fermi level at 1.7425 states/eV per atom. Its formation energy is 0.2372 eV/atom.

Cell lengths 6.420, 3.372, 13.074 Å; angles 90.00, 103.16, 90.00 degrees
Positions (direct):
Zr (0.094, 0.500, 0.172)
Zr (0.906, 0.500, 0.828)
Zr (0.094, 0.000, 0.672)
Zr (0.906, 0.000, 0.328)
V (0.150, 0.000, 0.992)
V (0.150, 0.500, 0.492)
V (0.850, 0.500, 0.508)
V (0.850, 0.000, 0.008)
Y (0.431, 0.000, 0.367)
Y (0.569, 0.000, 0.633)
Y (0.569, 0.500, 0.133)
Y (0.431, 0.500, 0.867)